VASP calculation (GGA-PBE) on crystalline CsNaRh at its relaxed geometry.

Properties
The energy relative to the elements is 0.270 eV per atom. For the size of the total moment, the calculation gives 0.00 μB/f.u. The relative energy among the computed polymorphs is 0 meV per atom. The mass density is 3.3 g/cm³.

```
CsNaRh
1.0
5.6943 0.0000 -0.0050
0.0000 4.5257 0.0000
-1.8323 0.0000 10.1103
Na Rh Cs
2 2 2
Direct
0.8771 0.2500 0.4026
0.1229 0.7500 0.5974
0.5790 0.7500 0.5120
0.4210 0.2500 0.4880
0.6946 0.2500 0.7991
0.3054 0.7500 0.2009
```